[1]
Entry from the Alexandria database: ThInAgCl6 after structural relaxation (PBE).

Computed properties:
space group	P-31c (163)

a = 7.0559 Å, b = 7.0559 Å, c = 14.1981 Å
α = 90.00°, β = 90.00°, γ = 120.00°
Element x y z (fractional)
Th  0.3333  0.6667  0.2500
Th  0.6667  0.3333  0.7500
In  0.0000  0.0000  0.0000
In  0.0000  0.0000  0.5000
Ag  0.3333  0.6667  0.7500
Ag  0.6667  0.3333  0.2500
Cl  0.0110  0.3653  0.1395
Cl  0.0110  0.6457  0.3605
Cl  0.3543  0.3653  0.3605
Cl  0.3543  0.9890  0.1395
Cl  0.3653  0.0110  0.6395
Cl  0.3653  0.3543  0.8605
Cl  0.6347  0.6457  0.1395
Cl  0.6347  0.9890  0.3605
Cl  0.6457  0.0110  0.8605
Cl  0.6457  0.6347  0.6395
Cl  0.9890  0.3543  0.6395
Cl  0.9890  0.6347  0.8605

=====

[2]
Entry from the Alexandria database: TiInAgCl6 after structural relaxation (PBE).

Computed properties:
space group	P1 (1)

a = 6.4820 Å, b = 6.8440 Å, c = 6.8531 Å
α = 60.07°, β = 89.96°, γ = 89.88°
Element x y z (fractional)
Ti  0.0000  0.0000  0.0000
In  0.5023  0.3331  0.3337
Ag  0.0048  0.6668  0.6661
Cl  0.2130  0.2898  0.7272
Cl  0.2129  0.9836  0.2894
Cl  0.2140  0.7271  0.9828
Cl  0.7871  0.2918  0.9791
Cl  0.7881  0.7292  0.2909
Cl  0.7881  0.9793  0.7290

=====

| no. | VASP energy (eV per atom) | raw formation energy (eV/atom) |
| --- | --- | --- |
| 1 | -4.1736 | -1.50 |
| 2 | -3.8662 | -1.14 |